{
  "formula": "La3MgO",
  "functional": "PBE",
  "state": "optimized geometry",
  "e_form_raw_kj_per_mol_atoms": -90,
  "polymorph_energy_ev_per_fu": 1.356,
  "mass_density_g_cm3": 4.8,
  "lattice": [[-3.532, 3.532, 6.310], [3.532, -3.532, 6.310], [3.532, 3.532, -6.310]],
  "species": ["La", "La", "La", "La", "La", "La", "Mg", "Mg", "O", "O"],
  "frac_coords": [[0.124, 0.124, 0.000], [0.362, 0.619, 0.744], [0.381, 0.125, 0.744], [0.381, 0.638, 0.256], [0.875, 0.619, 0.256], [0.876, 0.876, 0.000], [0.630, 0.130, 0.500], [0.870, 0.370, 0.500], [0.250, 0.750, 0.500], [0.500, 0.500, 0.000]]
}